Arrangement one

Here is crystalline Te2OsBr at its relaxed geometry from Alexandria. Energies are from PBE.

The crystal system is tetragonal.

The structure belongs to space group P4/mmm (No. 123); the cell edges are 5.183, 5.183 and 3.198 Å and the angles 90.00°, 90.00° and 90.00°. The inequivalent atoms are Te at (0.000, 0.500, 0.000), Os at (0.000, 0.000, 0.500) and Br at (0.500, 0.500, 0.500).

---

Arrangement two

Here is crystalline Te2OsBr at its relaxed geometry from Alexandria. Energies are from PBE.

The crystal system is orthorhombic.

The structure belongs to space group Cmm2 (No. 35); the cell edges are 3.146, 5.665 and 11.610 Å and the angles 90.00°, 90.00° and 90.00°. The inequivalent atoms are Te at (0.000, 0.000, 0.000), Te at (0.000, 0.500, 0.314), Os at (0.000, 0.000, 0.499) and Br at (0.000, 0.500, 0.675).

---

Energetically preferred structure: arrangement two | next structure: +327 meV/atom

---

Arrangement one

Here is crystalline Te2OsBr at its relaxed geometry from Alexandria. Energies are from PBE.

The crystal system is tetragonal.

The structure belongs to space group P4mm (No. 99); the cell edges are 3.721, 3.721 and 8.330 Å and the angles 90.00°, 90.00° and 90.00°. The inequivalent atoms are Te at (0.000, 0.000, 0.000), Te at (0.500, 0.500, 0.356), Os at (0.500, 0.500, 0.053) and Br at (0.000, 0.000, 0.675).

---

Arrangement two

Here is crystalline Te2OsBr at its relaxed geometry from Alexandria. Energies are from PBE.

The crystal system is tetragonal.

The structure belongs to space group P4/mmm (No. 123); the cell edges are 4.272, 4.272 and 4.893 Å and the angles 90.00°, 90.00° and 90.00°. The inequivalent atoms are Te at (0.000, 0.500, 0.000), Os at (0.000, 0.000, 0.500) and Br at (0.500, 0.500, 0.500).

---

Arrangement three

Here is crystalline Te2OsBr at its relaxed geometry from Alexandria. Energies are from PBE.

The crystal system is trigonal.

The structure belongs to space group R-3m (No. 166, hexagonal axes); the cell edges are 4.1002, 4.1002 and 24.3658 Å and the angles 90.00°, 90.00° and 120.00°. The inequivalent atoms are Te at (0.0000, 0.0000, 0.1155), Os at (0.0000, 0.0000, 0.5000) and Br at (0.0000, 0.0000, 0.0000).

---

Energetically preferred structure: arrangement three | next structure: +455 meV/atom

---

Arrangement one

Here is crystalline Te2Os2Br at its relaxed geometry from Alexandria. Energies are from PBE.

The crystal system is tetragonal.

The structure belongs to space group P4/mbm (No. 127); the cell edges are 8.256, 8.256 and 3.115 Å and the angles 90.00°, 90.00° and 90.00°. The inequivalent atoms are Te at (0.145, 0.355, 0.000), Os at (0.125, 0.625, 0.500) and Br at (0.000, 0.000, 0.000).

---

Arrangement two

Here is crystalline Te2Os2Br at its relaxed geometry from Alexandria. Energies are from PBE.

The crystal system is tetragonal.

The structure belongs to space group I4/mmm (No. 139); the cell edges are 3.930, 3.930 and 15.935 Å and the angles 90.00°, 90.00° and 90.00°. The inequivalent atoms are Te at (0.000, 0.000, 0.138), Os at (0.000, 0.500, 0.250) and Br at (0.000, 0.000, 0.500).

---

Energetically preferred structure: arrangement two | next structure: +751 meV/atom

---

Arrangement one

Here is crystalline TeOs3Br at its relaxed geometry from Alexandria. Energies are from PBE.

The crystal system is cubic.

The structure belongs to space group Pm-3m (No. 221); the cell edges are 4.940, 4.940 and 4.940 Å and the angles 90.00°, 90.00° and 90.00°. The inequivalent atoms are Te at (0.000, 0.000, 0.000), Os at (0.000, 0.000, 0.500) and Br at (0.500, 0.500, 0.500).

---

Arrangement two

Here is crystalline TeOs3Br at its relaxed geometry from Alexandria. Energies are from PBE.

The crystal system is cubic.

The structure belongs to space group Pm-3m (No. 221); the cell edges are 4.636, 4.636 and 4.636 Å and the angles 90.00°, 90.00° and 90.00°. The inequivalent atoms are Te at (0.000, 0.000, 0.000), Os at (0.000, 0.500, 0.500) and Br at (0.500, 0.500, 0.500).

---

Energetically preferred structure: arrangement two | next structure: +180 meV/atom

---

Arrangement one

Here is crystalline Th2OsBr at its relaxed geometry from Alexandria. Energies are from PBE.

The crystal system is trigonal.

The structure belongs to space group R-3m (No. 166, hexagonal axes); the cell edges are 4.2015, 4.2015 and 23.5926 Å and the angles 90.00°, 90.00° and 120.00°. The inequivalent atoms are Th at (0.0000, 0.0000, 0.2283), Os at (0.0000, 0.0000, 0.5000) and Br at (0.0000, 0.0000, 0.0000).

---

Arrangement two

Here is crystalline Th2OsBr at its relaxed geometry from Alexandria. Energies are from PBE.

The crystal system is tetragonal.

The structure belongs to space group P4/mmm (No. 123); the cell edges are 3.408, 3.408 and 8.464 Å and the angles 90.00°, 90.00° and 90.00°. The inequivalent atoms are Th at (0.000, 0.000, 0.221), Os at (0.500, 0.500, 0.000) and Br at (0.500, 0.500, 0.500).

---

Arrangement three

Here is crystalline Th2OsBr at its relaxed geometry from Alexandria. Energies are from PBE.

The crystal system is trigonal.

The structure belongs to space group R3m (No. 160, hexagonal axes); the cell edges are 4.1810, 4.1810 and 24.0653 Å and the angles 90.00°, 90.00° and 120.00°. The inequivalent atoms are Th at (0.0000, 0.0000, 0.0000), Th at (0.0000, 0.0000, 0.2116), Os at (0.0000, 0.0000, 0.6057) and Br at (0.0000, 0.0000, 0.4342).

---

Energetically preferred structure: arrangement one | next structure: +28 meV/atom

---

Arrangement one

Here is crystalline TiOs3Br at its relaxed geometry from Alexandria. Energies are from PBE.

The crystal system is cubic.

The structure belongs to space group Pm-3m (No. 221); the cell edges are 4.681, 4.681 and 4.681 Å and the angles 90.00°, 90.00° and 90.00°. The inequivalent atoms are Ti at (0.000, 0.000, 0.000), Os at (0.000, 0.000, 0.500) and Br at (0.500, 0.500, 0.500).

---

Arrangement two

Here is crystalline TiOs3Br at its relaxed geometry from Alexandria. Energies are from PBE.

The crystal system is cubic.

The structure belongs to space group Pm-3m (No. 221); the cell edges are 4.528, 4.528 and 4.528 Å and the angles 90.00°, 90.00° and 90.00°. The inequivalent atoms are Ti at (0.000, 0.000, 0.000), Os at (0.000, 0.500, 0.500) and Br at (0.500, 0.500, 0.500).

---

Energetically preferred structure: arrangement two | next structure: +170 meV/atom